--- P ---
Pm6Nd3Sc | Alexandria | PBE | relaxed; density = 6565 kg/m3; space group = No. 148
1.0
-6.570 -1.862 7.290
2.462 1.775 9.516
-2.769 3.645 5.279
Pm Nd Sc
6 3 1
Cartesian
-0.027 1.882 11.821 Pm
-2.878 3.109 14.209 Pm
-1.486 3.138 8.502 Pm
-6.783 1.271 10.224 Pm
-5.153 0.084 13.581 Pm
-3.882 0.079 8.014 Pm
-2.370 2.598 5.371 Nd
-4.070 3.436 10.897 Nd
-2.999 0.625 11.144 Nd
-4.739 1.568 16.661 Sc

=====

--- Q ---
Pm6Nd3Sc | Alexandria | PBE | relaxed; density = 6585 kg/m3; space group = No. 36
1.0
6.425 0.000 0.000
0.000 10.947 -1.688
0.000 -4.088 10.294
Pm Nd Sc
12 6 2
Cartesian
2.456 10.339 -1.204 Pm
2.369 1.929 8.867 Pm
5.668 -3.480 9.810 Pm
3.578 1.641 3.368 Pm
5.581 4.930 -0.262 Pm
0.366 5.218 5.237 Pm
0.925 6.792 1.623 Pm
5.581 8.213 3.859 Pm
2.369 -1.355 4.747 Pm
4.138 0.067 6.983 Pm
3.578 3.941 6.255 Pm
0.366 2.917 2.351 Pm
6.146 -0.576 2.851 Nd
3.702 5.184 2.904 Nd
2.934 2.907 0.075 Nd
6.146 3.951 8.531 Nd
2.934 7.434 5.755 Nd
0.490 1.674 5.701 Nd
3.973 7.989 0.669 Sc
0.760 -1.131 7.937 Sc

=====

Result of the stability comparison: P is the least stable of them.

=====

--- P ---
Pm7Nd2Sc2 | Alexandria | PBE | relaxed; density = 6330 kg/m3; space group = No. 2
1.0
6.083 -0.483 -2.713
-0.610 8.554 0.070
-4.247 0.110 8.964
Pm Nd Sc
7 2 2
Cartesian
-0.967 2.968 4.827 Pm
0.000 0.000 0.000 Pm
-0.927 5.562 6.971 Pm
-0.433 6.506 3.391 Pm
1.660 1.676 2.930 Pm
2.154 2.620 -0.650 Pm
2.194 5.213 1.494 Pm
3.926 -0.068 0.098 Nd
-2.700 8.250 6.223 Nd
1.873 4.829 4.984 Sc
-0.647 3.353 1.338 Sc

=====

--- Q ---
Pm7Nd2Sc2 | Alexandria | PBE | relaxed; density = 6255 kg/m3; space group = No. 44
1.0
-0.602 -3.565 -0.612
-0.170 -3.597 10.133
-9.634 -1.058 4.661
Pm Sc Nd
7 2 2
Cartesian
-9.276 -5.474 8.058 Pm
-6.913 -4.372 10.299 Pm
-7.842 -3.402 5.565 Pm
-4.449 -6.736 10.658 Pm
-5.607 -1.545 3.535 Pm
-0.949 -2.828 6.419 Pm
-3.186 -3.930 4.060 Pm
-8.609 -6.333 12.408 Sc
-1.420 -1.988 1.992 Sc
-0.875 -3.408 9.726 Nd
-4.455 -4.311 7.523 Nd

=====

Result of the stability comparison: Q is the least stable of them.

=====

--- P ---
Pm8NdSc2 | Alexandria | PBE | relaxed; density = 6356 kg/m3; space group = No. 12
1.0
-2.515 2.296 -4.347
3.347 -5.828 -5.015
-6.679 -2.844 5.858
Pm Sc Nd
8 2 1
Cartesian
-3.816 -4.881 -3.885 Pm
-2.065 -1.912 -3.325 Pm
-2.032 -1.495 0.381 Pm
-0.708 -4.274 -5.357 Pm
-6.855 -4.623 -1.995 Pm
1.007 -1.753 -1.509 Pm
-3.782 -4.464 -0.179 Pm
-5.139 -2.101 1.854 Pm
-5.017 -1.616 -1.470 Sc
-0.831 -4.760 -2.034 Sc
-1.258 1.148 -2.173 Nd

=====

--- Q ---
Pm8NdSc2 | Alexandria | PBE | relaxed; density = 6371 kg/m3; space group = No. 12
1.0
-5.767 0.824 0.984
-4.041 -2.616 7.628
-0.425 5.894 7.129
Pm Nd Sc
8 1 2
Cartesian
-5.263 1.846 3.273 Pm
-3.974 3.304 6.239 Pm
-3.777 -0.169 6.936 Pm
-6.456 4.271 8.806 Pm
-6.411 -0.928 5.101 Pm
-3.397 -0.864 3.511 Pm
-6.260 0.798 9.502 Pm
-4.971 2.256 12.468 Pm
-2.883 0.412 0.492 Nd
-3.053 1.846 9.682 Sc
-1.414 1.431 5.075 Sc

=====

Result of the stability comparison: Q is the least stable of them.

=====

--- P ---
Pm2Nd8Sc | Alexandria | PBE | relaxed; density = 6519 kg/m3; space group = No. 12
1.0
-3.306 5.385 2.517
-6.577 -1.331 7.551
-0.662 1.148 10.014
Pm Nd Sc
2 8 1
Cartesian
-2.796 2.352 4.345 Pm
-7.749 2.850 15.737 Pm
-4.169 4.670 9.917 Nd
-6.375 0.533 10.164 Nd
-3.813 1.383 7.763 Nd
-4.549 4.485 6.409 Nd
-5.995 0.718 13.673 Nd
-6.732 3.820 12.319 Nd
-3.531 1.725 11.349 Nd
-7.014 3.477 8.733 Nd
0.000 0.000 0.000 Sc

=====

--- Q ---
Pm2Nd8Sc | Alexandria | PBE | relaxed; density = 6501 kg/m3; space group = No. 71
1.0
-3.458 -4.346 -1.519
5.361 -5.296 2.948
-4.605 5.180 6.576
Nd Sc Pm
8 1 2
Cartesian
-6.547 -0.664 5.891 Nd
-3.821 1.372 4.774 Nd
-1.582 -0.841 6.006 Nd
-1.121 -3.621 1.999 Nd
3.844 -3.797 2.114 Nd
-1.502 -4.580 5.609 Nd
-1.201 0.118 2.396 Nd
1.118 -5.833 3.231 Nd
-1.729 -2.173 -0.759 Sc
-3.916 -1.958 3.605 Pm
1.214 -2.503 4.400 Pm

=====

Result of the stability comparison: P is the least stable of them.

=====

--- P ---
Pm2NdSc3 | Alexandria | PBE | relaxed; density = 5153 kg/m3; space group = No. 164
1.0
-0.250 1.220 6.646
4.286 -4.633 -2.428
6.508 6.520 -0.953
Sc Pm Nd
6 4 2
Cartesian
5.041 -1.287 1.938 Sc
5.151 -1.824 -0.984 Sc
7.277 2.895 3.182 Sc
5.503 4.395 1.328 Sc
5.393 4.931 4.249 Sc
3.267 0.213 0.084 Sc
3.952 1.964 3.228 Pm
0.000 0.000 0.000 Pm
6.592 1.143 0.038 Pm
3.254 3.260 -0.476 Pm
8.927 3.483 -0.304 Nd
1.617 -0.375 3.569 Nd

=====

--- Q ---
Pm2NdSc3 | Alexandria | PBE | relaxed; density = 4717 kg/m3; space group = No. 72
1.0
10.031 0.000 5.748
3.623 5.844 5.305
1.831 0.988 8.431
Sc Pm Nd
6 4 2
Cartesian
11.174 3.898 15.380 Sc
8.190 4.630 8.960 Sc
7.295 2.202 10.524 Sc
4.311 2.934 4.103 Sc
12.070 6.326 13.817 Sc
3.415 0.506 5.667 Sc
8.641 5.930 14.161 Pm
6.844 0.902 5.323 Pm
10.780 2.514 10.081 Pm
4.705 4.318 9.402 Pm
0.000 0.000 0.000 Nd
2.727 3.416 6.868 Nd

=====

Result of the stability comparison: Q is the least stable of them.

=====

--- P ---
Pm8Nd6Sc | Alexandria | PBE | relaxed; density = 6636 kg/m3; space group = No. 148
1.0
7.931 0.104 3.805
2.437 7.548 3.805
0.141 0.104 8.795
Nd Pm Sc
6 8 1
Cartesian
4.888 1.848 3.825 Nd
2.134 4.126 4.512 Nd
5.621 5.907 12.580 Nd
8.375 3.629 11.893 Nd
8.321 6.933 10.366 Nd
2.188 0.823 6.039 Nd
4.157 6.753 6.796 Pm
2.748 5.508 9.788 Pm
6.071 4.480 9.477 Pm
7.760 2.247 6.617 Pm
7.546 5.774 6.589 Pm
6.352 1.002 9.610 Pm
2.962 1.981 9.816 Pm
4.438 3.275 6.928 Pm
0.000 0.000 0.000 Sc

=====

--- Q ---
Pm8Nd6Sc | Alexandria | PBE | relaxed; density = 6716 kg/m3; space group = No. 148
1.0
9.946 0.000 0.000
4.973 8.613 0.000
4.973 2.871 5.976
Pm Nd Sc
8 6 1
Cartesian
7.065 3.373 2.928 Pm
10.557 2.063 3.048 Pm
9.334 9.421 2.928 Pm
13.437 4.432 2.928 Pm
9.946 5.742 1.423 Pm
12.826 8.111 3.048 Pm
6.454 7.052 3.048 Pm
9.946 5.742 4.553 Pm
13.904 6.093 5.830 Nd
6.648 0.732 0.146 Nd
17.608 8.995 5.830 Nd
5.987 5.391 0.146 Nd
13.243 10.752 5.830 Nd
2.283 2.489 0.146 Nd
0.000 0.000 0.000 Sc

=====

Result of the stability comparison: Q is the least stable of them.

=====

--- P ---
Pm5Nd2Sc2 | Alexandria | PBE | relaxed; density = 6143 kg/m3; space group = No. 64
1.0
8.174 0.000 0.000
0.000 8.647 0.000
0.000 -4.323 8.440
Pm Nd Sc
10 4 4
Cartesian
4.087 4.323 0.000 Pm
6.713 5.911 2.245 Pm
1.461 -1.588 6.195 Pm
2.626 7.059 2.245 Pm
2.626 2.736 6.195 Pm
1.461 2.736 2.245 Pm
0.000 0.000 0.000 Pm
5.549 -2.736 6.195 Pm
6.713 1.588 6.195 Pm
5.549 1.588 2.245 Pm
4.087 4.323 3.621 Nd
0.000 4.323 4.819 Nd
0.000 0.000 3.621 Nd
4.087 0.000 4.819 Nd
5.096 7.561 0.000 Sc
7.166 3.238 0.000 Sc
3.079 1.086 0.000 Sc
1.009 5.409 0.000 Sc

=====

--- Q ---
Pm5Nd2Sc2 | Alexandria | PBE | relaxed; density = 6295 kg/m3; space group = No. 12
1.0
-3.507 0.836 0.280
-3.823 -9.110 2.657
-1.691 -2.311 9.055
Nd Sc Pm
2 2 5
Cartesian
-2.445 -3.898 4.352 Nd
-6.575 -6.687 7.641 Nd
-4.147 -4.240 7.395 Sc
-4.873 -6.346 4.598 Sc
-4.190 -2.414 1.428 Pm
-5.541 -9.540 5.771 Pm
0.000 0.000 0.000 Pm
-3.480 -1.045 6.222 Pm
-4.831 -8.171 10.565 Pm

=====

Result of the stability comparison: P is the least stable of them.

=====

--- P ---
Pm5Nd4Sc | Alexandria | PBE | relaxed; density = 6612 kg/m3; space group = No. 123
1.0
-2.276 -2.274 -1.732
1.610 -2.849 1.626
-16.377 1.729 19.250
Nd Pm Sc
4 5 1
Cartesian
-3.147 0.332 3.699 Nd
-9.870 1.042 11.601 Nd
-6.507 0.687 7.649 Nd
-13.230 1.397 15.551 Nd
-1.800 -2.407 1.671 Pm
-8.521 -1.697 9.572 Pm
-15.243 -0.988 17.472 Pm
-5.159 -2.052 5.619 Pm
-11.884 -1.342 13.524 Pm
0.000 0.000 0.000 Sc

=====

--- Q ---
Pm5Nd4Sc | Alexandria | PBE | relaxed; density = 6282 kg/m3; space group = No. 12
1.0
4.762 0.000 -1.320
-1.254 7.426 -4.524
0.172 0.226 9.870
Pm Nd Sc
5 4 1
Cartesian
0.680 0.877 2.452 Pm
1.754 3.713 -2.922 Pm
3.001 6.775 1.574 Pm
3.705 2.151 4.116 Pm
-0.025 5.501 -0.090 Pm
3.866 5.597 4.696 Nd
2.749 3.249 0.666 Nd
-0.186 2.056 -0.670 Nd
0.932 4.404 3.360 Nd
2.381 0.000 -0.660 Sc

=====

Result of the stability comparison: Q is the least stable of them.